{"formula": "ZnCCl3", "functional": "PBE", "state": "optimized geometry", "lattice_angstrom": [[-2.1509, -3.9031, -0.3008], [3.4357, -1.7177, -2.2795], [1.8762, -1.3290, 3.8294]], "species": ["Cl", "Cl", "Cl", "C", "Zn"], "frac_coords": [[0.5000, 0.0000, 0.0000], [0.0000, 0.0000, 0.5000], [0.0000, 0.5000, 0.0000], [0.0000, 0.0000, 0.0000], [0.5000, 0.5000, 0.5000]], "space_group": "No. 221", "polymorph_energy_mev_per_atom": 0, "raw_formation_energy_kj_per_mol_fu": 400}